Entry 1:
Li2Rh2Pb | PBE | relaxed

**Space-group type**: No. 139
**Energy above the lowest structure with this stoichiometry**: 119 meV per atom
**DFT total energy**: -4.437 eV/atom
**E_form**: 0.1 eV/f.u.
**Density of states at the Fermi level**: 1.7 states/eV/f.u.

a b c (Å): 4.4227 4.4227 4.9694
angles (deg): 116.42 116.42 90.00
Last column: nearest neighbours and their distance in Å.
Positions (direct):
Li (0.8678, 0.3678, 0.2356)  1 Li 2.04
Li (0.1322, 0.6322, 0.7644)  1 Li 2.04
Rh (0.7500, 0.7500, 0.0000)  4 Li 2.39
Rh (0.2500, 0.2500, 0.0000)  4 Li 2.39
Pb (0.5000, 0.0000, 0.5000)  2 Li 2.84, 8 Rh 2.94

=====

Entry 2:
Li8RhPb6 | PBE | relaxed

**Space-group type**: No. 148
**DFT total energy**: -3.187 eV/atom
**E_form**: -2.9 eV/f.u.
**Density of states at the Fermi level**: 4.1 states/eV/f.u.

a b c (Å): 8.0493 8.0493 7.4778
angles (deg): 57.44 57.44 60.00
Last column: nearest neighbours and their distance in Å.
Positions (direct):
Li (0.6775, 0.1255, 0.3743)  1 Rh 2.86, 3 Pb 2.87-2.89, 3 Li 3.08-3.19
Li (0.8745, 0.1773, 0.6257)  1 Rh 2.86, 3 Pb 2.87-2.89, 3 Li 3.08-3.19
Li (0.1773, 0.3225, 0.6257)  1 Rh 2.86, 3 Pb 2.87-2.89, 3 Li 3.08-3.19
Li (0.5898, 0.5898, 0.2307)  6 Pb 3.05-3.18, 4 Li 3.08-3.15
Li (0.4102, 0.4102, 0.7693)  6 Pb 3.05-3.18, 4 Li 3.08-3.15
Li (0.8227, 0.6775, 0.3743)  1 Rh 2.86, 3 Pb 2.87-2.89, 3 Li 3.08-3.19
Li (0.1255, 0.8227, 0.3743)  1 Rh 2.86, 3 Pb 2.87-2.89, 3 Li 3.08-3.19
Li (0.3225, 0.8745, 0.6257)  1 Rh 2.86, 3 Pb 2.87-2.89, 3 Li 3.08-3.19
Rh (0.0000, 0.0000, 0.0000)  6 Li 2.86, 6 Pb 3.00
Pb (0.4399, 0.9656, 0.8566)  6 Li 2.87-3.21, 1 Rh 3.00, 1 Pb 3.15
Pb (0.0344, 0.2621, 0.1434)  6 Li 2.87-3.21, 1 Rh 3.00, 1 Pb 3.15
Pb (0.2621, 0.5601, 0.1434)  6 Li 2.87-3.21, 1 Rh 3.00, 1 Pb 3.15
Pb (0.7379, 0.4399, 0.8566)  6 Li 2.87-3.21, 1 Rh 3.00, 1 Pb 3.15
Pb (0.9656, 0.7379, 0.8566)  6 Li 2.87-3.21, 1 Rh 3.00, 1 Pb 3.15
Pb (0.5601, 0.0344, 0.1434)  6 Li 2.87-3.21, 1 Rh 3.00, 1 Pb 3.15

=====

Entry 3:
LiRhPb2 | PBE | relaxed

**Space-group type**: No. 160
**DFT total energy**: -4.083 eV/atom
**E_form**: 0.3 eV/f.u.
**Density of states at the Fermi level**: 2.3 states/eV/f.u.

a b c (Å): 9.7802 9.7802 9.7802
angles (deg): 19.49 19.49 19.49
Last column: nearest neighbours and their distance in Å.
Positions (direct):
Li (0.7648, 0.7648, 0.7648)  3 Rh 2.62
Pb (0.0106, 0.0106, 0.0106)  3 Li 3.16, 6 Pb 3.31
Pb (0.2307, 0.2307, 0.2307)  3 Rh 2.78
Rh (0.4938, 0.4938, 0.4938)  3 Li 2.62, 3 Pb 2.78

=====

Entry 4:
Li2Rh3Pb8 | PBE | relaxed

**Space-group type**: No. 10
**DFT total energy**: -4.340 eV/atom
**E_form**: -0.9 eV/f.u.
**Density of states at the Fermi level**: 6.6 states/eV/f.u.

a b c (Å): 4.7696 9.5727 8.4077
angles (deg): 124.34 90.00 90.00
Last column: nearest neighbours and their distance in Å.
Positions (direct):
Li (0.5000, 0.2429, 0.4871)  8 Pb 2.91-3.07
Li (0.5000, 0.7571, 0.5129)  8 Pb 2.91-3.07
Rh (0.5000, 0.0000, 0.0000)  8 Pb 2.94-3.00, 4 Rh 3.28
Rh (0.0000, 0.2347, 0.9997)  8 Pb 2.83-3.02
Rh (0.0000, 0.7653, 0.0003)  8 Pb 2.83-3.02
Pb (0.0000, 0.6154, 0.2344)  2 Rh 3.01-3.02, 2 Li 3.07, 5 Pb 3.26-3.31
Pb (0.0000, 0.3846, 0.7656)  2 Rh 3.01-3.02, 2 Li 3.07, 5 Pb 3.26-3.31
Pb (0.0000, 0.1229, 0.2481)  4 Rh 2.83-2.94, 2 Li 2.91
Pb (0.0000, 0.8771, 0.7519)  4 Rh 2.83-2.94, 2 Li 2.91
Pb (0.5000, 0.6203, 0.7618)  3 Rh 2.91-3.00, 2 Li 2.99-3.03
Pb (0.5000, 0.1437, 0.7636)  3 Rh 2.90-2.99, 2 Li 2.97-3.06
Pb (0.5000, 0.8563, 0.2364)  3 Rh 2.90-2.99, 2 Li 2.97-3.06
Pb (0.5000, 0.3797, 0.2382)  3 Rh 2.91-3.00, 2 Li 2.99-3.03

=====

Entry 5:
LiRh2Pb | PBE | relaxed

**Space-group type**: No. 123
**DFT total energy**: -5.150 eV/atom
**E_form**: -0.3 eV/f.u.
**Density of states at the Fermi level**: 1.2 states/eV/f.u.

a b c (Å): 3.2502 3.2503 6.0247
angles (deg): 90.00 90.00 90.00
Last column: nearest neighbours and their distance in Å.
Positions (direct):
Li (0.5000, 0.5000, 0.2500)  8 Rh 2.69, 2 Pb 3.01
Pb (0.5000, 0.5000, 0.7500)  8 Rh 2.81, 2 Li 3.01
Rh (0.0000, 0.0000, 0.0171)  4 Li 2.69, 4 Pb 2.81, 1 Rh 2.81
Rh (0.0000, 0.0000, 0.4829)  4 Li 2.69, 4 Pb 2.81, 1 Rh 2.81

=====

Entry 6:
LiRh2Pb | PBE | relaxed

**Space-group type**: No. 8
**DFT total energy**: -5.154 eV/atom
**E_form**: -0.3 eV/f.u.
**Density of states at the Fermi level**: 2.7 states/eV/f.u.

a b c (Å): 5.2357 5.2357 4.6987
angles (deg): 66.93 66.93 34.08
Last column: nearest neighbours and their distance in Å.
Positions (direct):
Li (0.4911, 0.4911, 0.5693)  7 Rh 2.74-2.88, 3 Pb 2.84-2.99
Pb (0.2600, 0.2600, 0.1762)  7 Rh 2.76-2.86, 3 Li 2.84-2.99, 2 Pb 3.07
Rh (0.0082, 0.0082, 0.0729)  4 Li 2.74-2.88, 3 Pb 2.76-2.79, 3 Rh 2.77-3.01
Rh (0.7407, 0.7407, 0.6816)  3 Li 2.76-2.80, 5 Rh 2.77-3.07, 4 Pb 2.77-2.86